Compound: CuRhS2
Source: Alexandria
Functional: PBE
Structure: optimized geometry

Cell and atoms, written as POSCAR:
```
CuRhS2
1.0
-3.414 0.841 -4.788
1.962 -2.084 -1.765
-7.430 -9.994 3.542
S Rh Cu
8 4 4
Direct
0.783 0.250 0.497 S
0.717 0.750 0.997 S
0.217 0.750 0.503 S
0.283 0.250 0.003 S
0.456 0.250 0.701 S
0.044 0.750 0.201 S
0.544 0.750 0.299 S
0.956 0.250 0.799 S
0.090 0.250 0.612 Rh
0.410 0.750 0.112 Rh
0.910 0.750 0.388 Rh
0.590 0.250 0.888 Rh
0.262 0.250 0.287 Cu
0.238 0.750 0.787 Cu
0.738 0.750 0.713 Cu
0.762 0.250 0.213 Cu
```

Results
- E_form (uncorrected) (eV/atom) = -0.15
- DOS at the Fermi energy (states/eV per cell) = 6.651

***

Compound: CuReHg2
Source: Alexandria
Functional: PBE
Structure: optimized geometry

Cell and atoms, written as POSCAR:
```
CuReHg2
1.0
9.998 0.028 0.017
9.569 2.898 0.017
9.569 1.431 2.520
Cu Hg Re
1 2 1
Direct
0.757 0.757 0.757 Cu
0.011 0.011 0.011 Hg
0.242 0.242 0.242 Hg
0.491 0.491 0.491 Re
```

Results
- ΔE to the lowest computed polymorph (eV/atom) = 0.000
- energy relative to the elements (eV per atom) = 0.55
- DOS at the Fermi energy (states/eV per cell) = 2.946

***

Compound: Sr2TmCd3
Source: Alexandria
Functional: PBE
Structure: optimized geometry

Cell and atoms, written as POSCAR:
```
Sr2TmCd3
1.0
-3.941 -3.710 1.108
1.462 -7.120 -4.865
4.483 -3.033 5.786
Sr Tm Cd
4 2 6
Direct
0.000 0.000 0.000 Sr
0.000 0.000 0.500 Sr
0.335 0.330 0.500 Sr
0.665 0.670 0.500 Sr
0.332 0.336 0.000 Tm
0.668 0.664 0.000 Tm
0.826 0.348 0.779 Cd
0.500 0.000 0.229 Cd
0.174 0.652 0.221 Cd
0.826 0.348 0.221 Cd
0.174 0.652 0.779 Cd
0.500 0.000 0.771 Cd
```

Results
- energy relative to the elements (eV per atom) = -0.30
- DOS at the Fermi energy (states/eV per cell) = 9.122

***

Compound: Y2CdBiO6
Source: Alexandria
Functional: PBE
Structure: optimized geometry

Cell and atoms, written as POSCAR:
```
Y2CdBiO6
1.0
-3.820 4.339 0.853
-3.394 1.812 -4.399
-5.994 -1.376 0.176
Y Cd Bi O
2 1 1 6
Direct
0.523 0.523 0.431 Y
0.022 0.022 0.934 Y
0.803 0.803 0.592 Cd
0.311 0.311 0.066 Bi
0.620 0.218 0.244 O
0.218 0.918 0.244 O
0.918 0.620 0.244 O
0.405 0.708 0.753 O
0.708 0.134 0.753 O
0.134 0.405 0.753 O
```

Results
- E_form (uncorrected) (eV/atom) = -2.24
- DOS at the Fermi energy (states/eV per cell) = 4.452

***

Compound: MnAl2Mo
Source: Alexandria
Functional: PBE
Structure: optimized geometry

Cell and atoms, written as POSCAR:
```
MnAl2Mo
1.0
-1.966 0.337 1.846
0.356 -2.558 0.846
5.284 2.447 5.180
Mo Mn Al
1 1 2
Direct
0.500 0.500 0.750 Mo
0.500 0.500 0.250 Mn
0.000 0.000 0.020 Al
0.000 0.000 0.480 Al
```

Results
- energy relative to the elements (eV per atom) = -0.19
- DOS at the Fermi energy (states/eV per cell) = 1.895

***

Compound: LaYRu2
Source: Alexandria
Functional: PBE
Structure: optimized geometry

Cell and atoms, written as POSCAR:
```
LaYRu2
1.0
3.312 0.019 0.000
-0.364 3.292 0.000
0.000 0.000 8.563
La Ru Y
1 2 1
Direct
0.500 0.500 0.813 La
0.000 0.000 0.063 Ru
0.500 0.500 0.197 Ru
0.000 0.000 0.427 Y
```

Results
- energy relative to the elements (eV per atom) = 0.15
- DOS at the Fermi energy (states/eV per cell) = 6.049

***

Compound: Ho3Mn3B8
Source: Alexandria
Functional: PBE
Structure: optimized geometry

Cell and atoms, written as POSCAR:
```
Ho3Mn3B8
1.0
3.172 0.000 0.000
1.586 7.519 0.838
1.586 2.853 7.007
Ho Mn B
3 3 8
Direct
0.500 0.500 0.500 Ho
0.776 0.224 0.224 Ho
0.224 0.776 0.776 Ho
0.500 0.000 0.000 Mn
0.000 0.798 0.202 Mn
0.000 0.202 0.798 Mn
0.622 0.108 0.647 B
0.378 0.892 0.353 B
0.622 0.647 0.108 B
0.378 0.353 0.892 B
0.865 0.813 0.456 B
0.135 0.187 0.544 B
0.865 0.456 0.813 B
0.135 0.544 0.187 B
```

Results
- energy relative to the elements (eV per atom) = -0.27
- DOS at the Fermi energy (states/eV per cell) = 6.068

***

Compound: BeTc2P
Source: Alexandria
Functional: PBE
Structure: optimized geometry

Cell and atoms, written as POSCAR:
```
BeTc2P
1.0
4.645 -0.001 0.002
1.431 4.419 -0.002
-2.413 -3.069 2.518
P Tc Be
1 2 1
Direct
0.250 0.750 0.500 P
0.017 0.017 0.000 Tc
0.483 0.483 0.000 Tc
0.750 0.250 0.500 Be
```

Results
- ΔE to the lowest computed polymorph (eV/atom) = 0.413
- energy relative to the elements (eV per atom) = -0.01
- DOS at the Fermi energy (states/eV per cell) = 3.219

***

Compound: KHg2H2
Source: Alexandria
Functional: PBE
Structure: optimized geometry

Cell and atoms, written as POSCAR:
```
KHg2H2
1.0
-3.158 -1.018 2.751
-6.040 -1.578 -7.520
3.543 -1.665 0.075
K Hg H
1 2 2
Direct
0.000 0.000 0.000 K
0.278 0.610 0.557 Hg
0.722 0.390 0.443 Hg
0.501 0.157 0.002 H
0.499 0.843 0.998 H
```

Results
- ΔE to the lowest computed polymorph (eV/atom) = 0.000
- DOS at the Fermi energy (states/eV per cell) = 0.390

***

Compound: SrLi10Zn2
Source: Alexandria
Functional: PBE
Structure: optimized geometry

Cell and atoms, written as POSCAR:
```
SrLi10Zn2
1.0
-5.207 -0.716 -1.431
-0.733 -5.876 -4.759
-3.513 -4.677 4.758
Sr Li Zn
1 10 2
Direct
0.000 0.000 0.000 Sr
0.357 0.629 0.657 Li
0.643 0.371 0.343 Li
0.986 0.371 0.657 Li
0.014 0.629 0.343 Li
0.000 0.000 0.500 Li
0.500 0.000 0.500 Li
0.271 0.239 0.219 Li
0.729 0.761 0.781 Li
0.510 0.761 0.219 Li
0.490 0.239 0.781 Li
0.000 0.500 0.000 Zn
0.500 0.500 0.000 Zn
```

Results
- energy relative to the elements (eV per atom) = -0.06
- DOS at the Fermi energy (states/eV per cell) = 5.022

***

Compound: Na2Mg2US6
Source: Alexandria
Functional: PBE
Structure: optimized geometry

Cell and atoms, written as POSCAR:
```
Na2Mg2US6
1.0
-0.287 -4.942 4.191
5.744 1.833 -2.390
-1.074 5.383 4.558
Na Mg U S
2 2 1 6
Direct
0.831 0.169 0.000 Na
0.169 0.831 0.000 Na
0.332 0.668 0.500 Mg
0.668 0.332 0.500 Mg
0.000 0.000 0.500 U
0.746 0.746 0.712 S
0.071 0.398 0.715 S
0.254 0.254 0.288 S
0.398 0.071 0.715 S
0.929 0.602 0.285 S
0.602 0.929 0.285 S
```

Results
- E_form (uncorrected) (eV/atom) = -1.29

***

Compound: Dy2Ho3Cu3
Source: Alexandria
Functional: PBE
Structure: optimized geometry

Cell and atoms, written as POSCAR:
```
Dy2Ho3Cu3
1.0
-0.907 -0.291 -3.397
-1.300 -4.843 0.762
-8.583 5.533 3.648
Dy Ho Cu
2 3 3
Direct
0.274 0.774 0.548 Dy
0.726 0.226 0.452 Dy
0.384 0.384 0.769 Ho
0.616 0.616 0.231 Ho
0.500 0.000 0.000 Ho
0.886 0.886 0.772 Cu
0.000 0.500 0.000 Cu
0.114 0.114 0.228 Cu
```

Results
- energy relative to the elements (eV per atom) = -0.15
- DOS at the Fermi energy (states/eV per cell) = 6.905